First-principles (PBE) data for a relaxed CePrSm2P4 crystal, as listed in Alexandria.

For the formation enthalpy at 0 K, the calculation gives -1.5445 eV per atom.

The structure belongs to space group P2/m (No. 10); the cell edges are 7.139, 4.126 and 7.147 Å and the angles 90.00°, 109.40° and 90.00°. The asymmetric unit holds Ce at (0.000, 0.000, 0.000), Pr at (0.000, 0.500, 0.500), Sm at (0.500, 0.000, 0.500), Sm at (0.500, 0.500, 0.000), P at (0.249, 0.500, 0.245) and P at (0.252, 0.000, 0.756).